[1]
A plane-wave DFT calculation with PBE-GGA was carried out for a relaxed Y2GaS4 crystal.

Calculated values
- final energy (eV per atom) = -6.039
- V (Å³ per cell) = 318.3
- formation energy from raw total energies (eV/atom) = -1.401
- space-group type = P2_1/m, No. 11

a b c (Å): 6.543 6.784 7.405
angles (deg): 90.00 104.44 90.00
Fractional coordinates of all 14 atoms:
Y: 0.194 0.250 0.046
Y: 0.216 0.250 0.547
Y: 0.784 0.750 0.453
Y: 0.806 0.750 0.954
Ga: 0.261 0.750 0.834
Ga: 0.739 0.250 0.166
S: 0.001 0.503 0.258
S: 0.001 0.997 0.258
S: 0.476 0.750 0.637
S: 0.487 0.750 0.124
S: 0.513 0.250 0.876
S: 0.524 0.250 0.363
S: 0.999 0.003 0.742
S: 0.999 0.497 0.742


[2]
A plane-wave DFT calculation with PBE-GGA was carried out for a relaxed Y5GaS5 crystal.

Calculated values
- final energy (eV per atom) = -6.873
- V (Å³ per cell) = 266.8
- formation energy from raw total energies (eV/atom) = -1.783
- space-group type = C2/m, No. 12

a b c (Å): 6.897 6.897 7.969
angles (deg): 106.84 106.84 47.90
Fractional coordinates of all 11 atoms:
Y: 0.000 0.000 0.000
Y: 0.333 0.333 0.661
Y: 0.338 0.338 0.177
Y: 0.662 0.662 0.823
Y: 0.667 0.667 0.339
Ga: 0.500 0.500 0.000
S: 0.173 0.173 0.333
S: 0.173 0.173 0.842
S: 0.500 0.500 0.500
S: 0.827 0.827 0.158
S: 0.827 0.827 0.667